Below is a geometry-optimized LaFeAs2Se structure, with properties calculated at the PBE level.

Unit cell a=5.684 b=5.684 c=5.635 alpha=90.00 beta=90.00 gamma=90.00
Space group P4/mmm (No. 123)
One atom of each set of equivalent atoms:
La 0.000 0.000 0.000 [1 per cell]
Fe 0.500 0.500 0.500 [1 per cell]
As 0.000 0.500 0.000 [2 per cell]
Se 0.000 0.000 0.500 [1 per cell]

Output
E_form (uncorrected): 0.886 eV per atom
excess energy over the best structure of this formula in the dataset: 1437 meV/atom